(1)
The following is a DFT calculation (PBE) of a geometry-optimized Cs3KI2O8 structure.

Cell: 6.7263 6.7263 8.6821 Å, 90.00 90.00 120.00°
Last column: nearest neighbours and their distance in Å.
Element x y z (fractional)
Cs 0.0000 0.0000 0.0000  6 O 3.41
Cs 0.3333 0.6667 0.6615  1 O 2.89
Cs 0.6667 0.3333 0.3385  1 O 2.89
K 0.0000 0.0000 0.5000  6 O 2.77
I 0.3333 0.6667 0.2131  4 O 1.88-1.90
I 0.6667 0.3333 0.7869  4 O 1.88-1.90
O 0.1863 0.3727 0.3027  1 I 1.88
O 0.1863 0.8137 0.3027  1 I 1.88
O 0.3333 0.6667 0.9939  1 I 1.90
O 0.3727 0.1863 0.6973  1 I 1.88
O 0.6273 0.8137 0.3027  1 I 1.88
O 0.6667 0.3333 0.0061  1 I 1.90
O 0.8137 0.1863 0.6973  1 I 1.88
O 0.8137 0.6273 0.6973  1 I 1.88

## Properties
The density of states at the Fermi level comes out at 5.01 states/eV/f.u. The calculation puts the uncorrected formation energy at -0.955 eV per atom. For the uncorrected energy, the calculation gives -4.271 eV per atom. The space group is P-3m1 (164).

(2)
The following is a DFT calculation (PBE) of a geometry-optimized NdDy2Hg8 structure.

Cell: 8.6070 8.6070 8.6070 Å, 145.47 128.44 63.54°
Last column: nearest neighbours and their distance in Å.
Element x y z (fractional)
Nd 0.0000 0.0000 0.0000  12 Hg 3.09-3.43
Dy 0.3077 0.3077 0.0000  10 Hg 3.06-3.38
Dy 0.6923 0.6923 0.0000  10 Hg 3.06-3.38
Hg 0.1386 0.8495 0.2891  3 Dy 3.06-3.16, 1 Nd 3.09, 6 Hg 3.16-3.37
Hg 0.1569 0.6569 0.5000  8 Hg 3.19-3.35, 2 Dy 3.38, 2 Nd 3.43
Hg 0.2951 0.5000 0.7951  7 Hg 3.07-3.37, 2 Dy 3.20, 2 Nd 3.38
Hg 0.4396 0.1505 0.2891  3 Dy 3.06-3.16, 1 Nd 3.09, 6 Hg 3.16-3.37
Hg 0.5604 0.8495 0.7109  3 Dy 3.06-3.16, 1 Nd 3.09, 6 Hg 3.16-3.37
Hg 0.7049 0.5000 0.2049  7 Hg 3.07-3.37, 2 Dy 3.20, 2 Nd 3.38
Hg 0.8431 0.3431 0.5000  8 Hg 3.19-3.35, 2 Dy 3.38, 2 Nd 3.43
Hg 0.8614 0.1505 0.7109  3 Dy 3.06-3.16, 1 Nd 3.09, 6 Hg 3.16-3.37

## Properties
The density of states at the Fermi level comes out at 6.00 states/eV/f.u. The distance to the lowest polymorph of the same formula is 0.14 eV/f.u. For the uncorrected energy, the calculation gives -1.804 eV per atom. The space group is Immm (71). The formation energy is -0.314 eV/atom.

(3)
The following is a DFT calculation (PBE) of a geometry-optimized LaDySn2 structure.

Cell: 4.9988 4.9988 4.5364 Å, 90.00 90.00 90.00°
Last column: nearest neighbours and their distance in Å.
Element x y z (fractional)
La 0.0000 0.0000 0.0000  8 Sn 3.38, 4 Dy 3.53
Dy 0.5000 0.5000 0.0000  8 Sn 3.38, 4 La 3.53
Sn 0.0000 0.5000 0.5000  4 La 3.38, 4 Dy 3.38, 4 Sn 3.53
Sn 0.5000 0.0000 0.5000  4 La 3.38, 4 Dy 3.38, 4 Sn 3.53

## Properties
The density of states at the Fermi level comes out at 4.11 states/eV/f.u. For the uncorrected energy, the calculation gives -5.046 eV per atom. The space group is P4/mmm (123). The formation energy is -0.662 eV/atom.

(4)
The following is a DFT calculation (PBE) of a geometry-optimized Li2OsW structure.

Cell: 2.6848 4.0745 5.6573 Å, 90.00 90.00 90.00°
Last column: nearest neighbours and their distance in Å.
Element x y z (fractional)
Li 0.0000 0.0000 0.0000  6 Li 2.68-2.72, 2 Os 2.77-2.89
Li 0.5000 0.5000 0.2125  6 Li 2.68-2.72, 2 W 2.69-2.97, 4 Os 2.97
Os 0.0000 0.0000 0.5108  4 W 2.64, 2 Os 2.68, 2 Li 2.77-2.89
W 0.5000 0.5000 0.6874  4 Os 2.64, 2 W 2.68, 1 Li 2.69

## Properties
The density of states at the Fermi level comes out at 2.67 states/eV/f.u. The distance to the lowest polymorph of the same formula is 0.47 eV/f.u. For the uncorrected energy, the calculation gives -6.698 eV per atom. The space group is Pmm2 (25). The formation energy is 0.305 eV/atom.

(5)
The following is a DFT calculation (PBE) of a geometry-optimized Rb2CdSO4 structure.

Cell: 6.3348 6.3348 6.3348 Å, 108.67 108.67 111.08°
Last column: nearest neighbours and their distance in Å.
Element x y z (fractional)
Rb 0.0000 0.0000 0.0000  4 O 2.97
Rb 0.7500 0.2500 0.5000  4 O 2.80
Cd 0.2500 0.7500 0.5000  8 O 3.49-3.76, 2 Rb 3.58
S 0.5000 0.5000 0.0000  4 O 1.50
O 0.2283 0.4472 0.9204  1 S 1.50
O 0.5268 0.3079 0.0796  1 S 1.50
O 0.5528 0.4732 0.7811  1 S 1.50
O 0.6921 0.7717 0.2189  1 S 1.50

## Properties
The density of states at the Fermi level comes out at 0.00 states/eV/f.u. The calculation puts the uncorrected formation energy at -1.434 eV per atom. For the uncorrected energy, the calculation gives -4.786 eV per atom. The space group is I-4 (82).

(6)
The following is a DFT calculation (PBE) of a geometry-optimized TbThSc6 structure.

Cell: 6.6855 6.6855 4.6998 Å, 90.00 90.00 90.09°
Last column: nearest neighbours and their distance in Å.
Element x y z (fractional)
Tb 0.0000 0.0000 0.0000  12 Sc 3.34-3.35
Th 0.5000 0.5000 0.0000  12 Sc 3.31-3.34
Sc 0.0000 0.5000 0.0000  8 Sc 3.33, 2 Tb 3.34, 2 Th 3.34
Sc 0.2526 0.2526 0.5000  8 Sc 3.31-3.38, 2 Th 3.31, 2 Tb 3.35
Sc 0.2527 0.7473 0.5000  8 Sc 3.31-3.38, 2 Th 3.32, 2 Tb 3.35
Sc 0.5000 0.0000 0.0000  8 Sc 3.33, 2 Tb 3.34, 2 Th 3.34
Sc 0.7473 0.2527 0.5000  8 Sc 3.31-3.38, 2 Th 3.32, 2 Tb 3.35
Sc 0.7474 0.7474 0.5000  8 Sc 3.31-3.38, 2 Th 3.31, 2 Tb 3.35

## Properties
The density of states at the Fermi level comes out at 15.03 states/eV/f.u. For the uncorrected energy, the calculation gives -6.215 eV per atom. The space group is Cmmm (65). The formation energy is 0.040 eV/atom.

(7)
The following is a DFT calculation (PBE) of a geometry-optimized Ce4FeBr5 structure.

Cell: 9.2922 9.2922 8.7717 Å, 103.88 103.88 25.99°
Last column: nearest neighbours and their distance in Å.
Element x y z (fractional)
Ce 0.0006 0.0006 0.2782  2 Fe 2.86, 2 Br 2.99-3.04
Ce 0.3611 0.3611 0.4267  1 Fe 2.44
Ce 0.6389 0.6389 0.5733  1 Fe 2.44
Ce 0.9994 0.9994 0.7218  2 Fe 2.86, 2 Br 2.99-3.04
Fe 0.5000 0.5000 0.5000  2 Ce 2.44
Br 0.1693 0.1693 0.8320  3 Ce 2.99-3.03
Br 0.1736 0.1736 0.3406  4 Ce 3.04-3.29
Br 0.5000 0.5000 0.0000  4 Ce 3.21
Br 0.8264 0.8264 0.6594  4 Ce 3.04-3.29
Br 0.8307 0.8307 0.1680  3 Ce 2.99-3.03

## Properties
The density of states at the Fermi level comes out at 22.70 states/eV/f.u. The calculation puts the uncorrected formation energy at -1.246 eV per atom. For the uncorrected energy, the calculation gives -5.302 eV per atom. The space group is C2/m (12).

(8)
The following is a DFT calculation (PBE) of a geometry-optimized ZrFe2W2 structure.

Cell: 7.2981 7.2981 2.8237 Å, 90.00 90.00 90.00°
Last column: nearest neighbours and their distance in Å.
Element x y z (fractional)
Zr 0.0000 0.0000 0.0000  2 Zr 2.82, 4 Fe 2.86, 8 W 3.09
Zr 0.5000 0.5000 0.0000  2 Zr 2.82, 4 Fe 2.86, 8 W 3.09
Fe 0.1315 0.3685 0.0000  6 W 2.55-2.58, 3 Fe 2.72-2.82, 2 Zr 2.86
Fe 0.3685 0.8685 0.0000  6 W 2.55-2.58, 3 Fe 2.72-2.82, 2 Zr 2.86
Fe 0.6315 0.1315 0.0000  6 W 2.55-2.58, 3 Fe 2.72-2.82, 2 Zr 2.86
Fe 0.8685 0.6315 0.0000  6 W 2.55-2.58, 3 Fe 2.72-2.82, 2 Zr 2.86
W 0.1589 0.6589 0.5000  6 Fe 2.55-2.58, 2 W 2.82
W 0.3411 0.1589 0.5000  6 Fe 2.55-2.58, 2 W 2.82
W 0.6589 0.8411 0.5000  6 Fe 2.55-2.58, 2 W 2.82
W 0.8411 0.3411 0.5000  6 Fe 2.55-2.58, 2 W 2.82

## Properties
The density of states at the Fermi level comes out at 9.41 states/eV/f.u. The distance to the lowest polymorph of the same formula is 0.00 eV/f.u. For the uncorrected energy, the calculation gives -10.098 eV per atom. The space group is P4/mbm (127). The formation energy is 0.178 eV/atom.

(9)
The following is a DFT calculation (PBE) of a geometry-optimized Mn2TcGe structure.

Cell: 2.9063 2.9063 5.8940 Å, 90.00 90.00 90.00°
Last column: nearest neighbours and their distance in Å.
Element x y z (fractional)
Mn 0.0000 0.0000 0.2408  4 Ge 2.50, 4 Tc 2.56
Mn 0.0000 0.0000 0.7592  4 Ge 2.50, 4 Tc 2.56
Tc 0.5000 0.5000 0.5000  8 Mn 2.56
Ge 0.5000 0.5000 0.0000  8 Mn 2.50

## Properties
The density of states at the Fermi level comes out at 4.30 states/eV/f.u. For the uncorrected energy, the calculation gives -8.279 eV per atom. The space group is P4/mmm (123). The formation energy is 0.051 eV/atom.

(10)
The following is a DFT calculation (PBE) of a geometry-optimized Gd2SnCl structure.

Cell: 10.7575 10.7575 10.7575 Å, 18.84 18.84 18.84°
Last column: nearest neighbours and their distance in Å.
Element x y z (fractional)
Gd 0.0976 0.0976 0.0976  3 Cl 2.99, 1 Sn 3.09
Gd 0.9024 0.9024 0.9024  3 Cl 2.99, 1 Sn 3.09
Sn 0.0000 0.0000 0.0000  2 Gd 3.09
Cl 0.5000 0.5000 0.5000  6 Gd 2.99

## Properties
The density of states at the Fermi level comes out at 4.28 states/eV/f.u. The calculation puts the uncorrected formation energy at -0.597 eV per atom. For the uncorrected energy, the calculation gives -9.100 eV per atom. The space group is R-3m (166).

(11)
The following is a DFT calculation (PBE) of a geometry-optimized Pm3Mg2Cd3 structure.

Cell: 10.8380 10.8380 10.8380 Å, 159.15 151.38 35.68°
Last column: nearest neighbours and their distance in Å.
Element x y z (fractional)
Pm 0.0000 0.0000 0.0000  8 Cd 3.30-3.32
Pm 0.3720 0.8720 0.5000  6 Cd 3.29-3.32, 4 Mg 3.39-3.51
Pm 0.6280 0.1280 0.5000  6 Cd 3.29-3.32, 4 Mg 3.39-3.51
Mg 0.2382 0.2382 0.0000  2 Cd 2.99
Mg 0.7618 0.7618 0.0000  2 Cd 2.99
Cd 0.1289 0.6289 0.5000  2 Mg 2.99, 6 Pm 3.30-3.32
Cd 0.5000 0.5000 0.0000  8 Pm 3.29-3.32
Cd 0.8711 0.3711 0.5000  2 Mg 2.99, 6 Pm 3.30-3.32

## Properties
The density of states at the Fermi level comes out at 8.19 states/eV/f.u. For the uncorrected energy, the calculation gives -2.736 eV per atom. The space group is Immm (71). The formation energy is -0.212 eV/atom.

(12)
The following is a DFT calculation (PBE) of a geometry-optimized CaSbNO2 structure.

Cell: 4.0406 4.0406 3.9913 Å, 90.00 90.00 90.00°
Last column: nearest neighbours and their distance in Å.
Element x y z (fractional)
Ca 0.0000 0.0000 0.0000  8 O 2.84, 4 N 2.86
Sb 0.5000 0.5000 0.5000  2 N 2.00, 4 O 2.02
N 0.5000 0.5000 0.0000  2 Sb 2.00
O 0.0000 0.5000 0.5000  2 Sb 2.02
O 0.5000 0.0000 0.5000  2 Sb 2.02

## Properties
The density of states at the Fermi level comes out at 0.49 states/eV/f.u. The calculation puts the uncorrected formation energy at -1.203 eV per atom. For the uncorrected energy, the calculation gives -6.076 eV per atom. The space group is P4/mmm (123).